No. 1
## CeZnCuPt (PBE)

Data for CeZnCuPt after structural relaxation.

Energy relative to the elements, meV per atom: -466
Crystal system: cubic

Cell: 4.7220 4.7220 4.7220 Å, 60.00 60.00 60.00°
Closest atoms and distances in Å follow each position.
Sites, in units of the cell vectors:
Ce (0.0000, 0.0000, 0.0000)  4 Pt 2.89, 4 Cu 2.89
Zn (0.5000, 0.5000, 0.5000)  4 Pt 2.89, 4 Cu 2.89
Cu (0.2500, 0.2500, 0.2500)  4 Ce 2.89, 4 Zn 2.89
Pt (0.7500, 0.7500, 0.7500)  4 Ce 2.89, 4 Zn 2.89

No. 2
## Ce2Zn2CuPt5 (PBE)

Data for Ce2Zn2CuPt5 after structural relaxation.

Energy relative to the elements, meV per atom: -643
Crystal system: tetragonal

Cell: 9.7649 9.7649 3.7384 Å, 90.00 90.00 90.00°
Closest atoms and distances in Å follow each position.
Sites, in units of the cell vectors:
Ce (0.1772, 0.3228, 0.0000)  3 Zn 2.76-2.98, 2 Pt 3.08
Ce (0.3228, 0.8228, 0.0000)  3 Zn 2.76-2.98, 2 Pt 3.08
Ce (0.6772, 0.1772, 0.0000)  3 Zn 2.76-2.98, 2 Pt 3.08
Ce (0.8228, 0.6772, 0.0000)  3 Zn 2.76-2.98, 2 Pt 3.08
Zn (0.1230, 0.6230, 0.0000)  6 Pt 2.53-2.63, 1 Ce 2.76
Zn (0.3770, 0.1230, 0.0000)  6 Pt 2.53-2.63, 1 Ce 2.76
Zn (0.6230, 0.8770, 0.0000)  6 Pt 2.53-2.63, 1 Ce 2.76
Zn (0.8770, 0.3770, 0.0000)  6 Pt 2.53-2.63, 1 Ce 2.76
Cu (0.0000, 0.0000, 0.0000)  8 Pt 2.76
Cu (0.5000, 0.5000, 0.0000)  8 Pt 2.76
Pt (0.0000, 0.5000, 0.5000)  4 Zn 2.53
Pt (0.0592, 0.8008, 0.5000)  2 Zn 2.63, 2 Cu 2.76, 2 Pt 2.87
Pt (0.1992, 0.0592, 0.5000)  2 Zn 2.63, 2 Cu 2.76, 2 Pt 2.87
Pt (0.3008, 0.5592, 0.5000)  2 Zn 2.63, 2 Cu 2.76, 2 Pt 2.87
Pt (0.4408, 0.3008, 0.5000)  2 Zn 2.63, 2 Cu 2.76, 2 Pt 2.87
Pt (0.5000, 0.0000, 0.5000)  4 Zn 2.53
Pt (0.5592, 0.6992, 0.5000)  2 Zn 2.63, 2 Cu 2.76, 2 Pt 2.87
Pt (0.6992, 0.4408, 0.5000)  2 Zn 2.63, 2 Cu 2.76, 2 Pt 2.87
Pt (0.8008, 0.9408, 0.5000)  2 Zn 2.63, 2 Cu 2.76, 2 Pt 2.87
Pt (0.9408, 0.1992, 0.5000)  2 Zn 2.63, 2 Cu 2.76, 2 Pt 2.87

No. 3
## CeZrCuPt (PBE)

Data for CeZrCuPt after structural relaxation.

Energy relative to the elements, meV per atom: -431
Crystal system: cubic

Cell: 4.8662 4.8662 4.8662 Å, 60.00 60.00 60.00°
Closest atoms and distances in Å follow each position.
Sites, in units of the cell vectors:
Ce (0.0000, 0.0000, 0.0000)  4 Pt 2.98, 4 Cu 2.98
Zr (0.5000, 0.5000, 0.5000)  4 Pt 2.98, 4 Cu 2.98
Cu (0.2500, 0.2500, 0.2500)  4 Zr 2.98, 4 Ce 2.98
Pt (0.7500, 0.7500, 0.7500)  4 Zr 2.98, 4 Ce 2.98

No. 4
## CePu2Cu (PBE)

Data for CePu2Cu after structural relaxation.

Relative energy among the computed polymorphs, meV/atom: 896
Energy relative to the elements, meV per atom: 986
Crystal system: trigonal

Cell: 8.7875 8.7875 8.7875 Å, 26.04 26.04 26.04°
Closest atoms and distances in Å follow each position.
Sites, in units of the cell vectors:
Ce (0.0000, 0.0000, 0.0000)  6 Pu 2.73
Pu (0.3917, 0.3917, 0.3917)  3 Ce 2.73, 1 Cu 2.76
Pu (0.6083, 0.6083, 0.6083)  3 Ce 2.73, 1 Cu 2.76
Cu (0.5000, 0.5000, 0.5000)  2 Pu 2.76

No. 5
## CePuCu (PBE)

Data for CePuCu after structural relaxation.

Relative energy among the computed polymorphs, meV/atom: 247
Energy relative to the elements, meV per atom: 302
Crystal system: orthorhombic

Cell: 9.9106 9.9106 4.2347 Å, 90.00 90.00 163.31°
Closest atoms and distances in Å follow each position.
Sites, in units of the cell vectors:
Ce (0.1091, 0.8909, 0.7500)  2 Ce 2.88, 6 Cu 2.98-3.11, 2 Pu 3.19
Ce (0.8909, 0.1091, 0.2500)  2 Ce 2.88, 6 Cu 2.98-3.11, 2 Pu 3.19
Pu (0.2456, 0.7544, 0.2500)  4 Pu 2.57
Pu (0.7544, 0.2456, 0.7500)  4 Pu 2.57
Cu (0.4686, 0.5314, 0.7500)  2 Cu 2.45
Cu (0.5314, 0.4686, 0.2500)  2 Cu 2.45

No. 6
## CePu3Cu8 (PBE)

Data for CePu3Cu8 after structural relaxation.

Energy relative to the elements, meV per atom: -48
Crystal system: trigonal

Cell: 5.2091 5.2091 8.5707 Å, 90.00 90.00 120.00°
Closest atoms and distances in Å follow each position.
Sites, in units of the cell vectors:
Ce (0.0000, 0.0000, 0.0000)  12 Cu 3.02-3.12, 4 Pu 3.14-3.36
Pu (0.0000, 0.0000, 0.3916)  12 Cu 3.01-3.08, 3 Pu 3.16, 1 Ce 3.36
Pu (0.6667, 0.3333, 0.5046)  12 Cu 3.02-3.07, 4 Pu 3.16-3.34
Pu (0.6667, 0.3333, 0.8939)  12 Cu 3.03-3.11, 3 Ce 3.14, 1 Pu 3.34
Cu (0.0028, 0.5014, 0.2004)  6 Cu 2.58-2.63
Cu (0.1684, 0.3367, 0.6949)  6 Cu 2.58-2.63
Cu (0.1684, 0.8316, 0.6949)  6 Cu 2.58-2.63
Cu (0.3333, 0.6667, 0.4469)  6 Cu 2.59
Cu (0.3333, 0.6667, 0.9472)  6 Cu 2.62-2.63
Cu (0.4986, 0.5014, 0.2004)  6 Cu 2.58-2.63
Cu (0.4986, 0.9972, 0.2004)  6 Cu 2.58-2.63
Cu (0.6633, 0.8316, 0.6949)  6 Cu 2.58-2.63

No. 7
## CePuCu3 (PBE)

Data for CePuCu3 after structural relaxation.

Energy relative to the elements, meV per atom: -39
Crystal system: orthorhombic

Cell: 13.2168 13.2168 4.3904 Å, 90.00 90.00 165.26°
Closest atoms and distances in Å follow each position.
Sites, in units of the cell vectors:
Ce (0.0722, 0.9278, 0.7500)  12 Cu 3.03-3.05, 2 Ce 3.39
Ce (0.9278, 0.0722, 0.2500)  12 Cu 3.03-3.05, 2 Ce 3.39
Pu (0.2117, 0.7883, 0.2500)  7 Cu 2.95-3.13
Pu (0.7883, 0.2117, 0.7500)  7 Cu 2.95-3.13
Cu (0.3312, 0.6688, 0.2500)  2 Cu 2.55
Cu (0.3803, 0.6197, 0.7500)  3 Cu 2.52-2.55
Cu (0.4763, 0.5237, 0.7500)  3 Cu 2.52
Cu (0.5237, 0.4763, 0.2500)  3 Cu 2.52
Cu (0.6197, 0.3803, 0.2500)  3 Cu 2.52-2.55
Cu (0.6688, 0.3312, 0.7500)  2 Cu 2.55

No. 8
## CePuCu2 (PBE)

Data for CePuCu2 after structural relaxation.

Relative energy among the computed polymorphs, meV/atom: 0
Energy relative to the elements, meV per atom: 43
Crystal system: tetragonal

Cell: 3.0655 3.0655 8.4273 Å, 90.00 90.00 90.00°
Closest atoms and distances in Å follow each position.
Sites, in units of the cell vectors:
Ce (0.0000, 0.0000, 0.0000)  8 Cu 3.03, 4 Ce 3.07
Pu (0.0000, 0.0000, 0.5000)  8 Cu 3.02, 4 Pu 3.07
Cu (0.5000, 0.5000, 0.2512)  4 Pu 3.02, 4 Ce 3.03, 4 Cu 3.07
Cu (0.5000, 0.5000, 0.7488)  4 Pu 3.02, 4 Ce 3.03, 4 Cu 3.07

No. 9
## Ce6PuCu2 (PBE)

Data for Ce6PuCu2 after structural relaxation.

Energy relative to the elements, meV per atom: -67
Crystal system: monoclinic

Cell: 6.2323 7.5807 11.5500 Å, 90.00 122.18 90.00°
Closest atoms and distances in Å follow each position.
Sites, in units of the cell vectors:
Ce (0.0987, 0.1469, 0.4437)  1 Pu 2.49
Ce (0.0987, 0.3531, 0.9437)  1 Pu 2.49
Ce (0.3092, 0.7019, 0.4504)  1 Pu 2.47
Ce (0.3092, 0.7981, 0.9504)  1 Pu 2.47
Ce (0.3669, 0.0259, 0.2568)  1 Pu 2.48
Ce (0.3669, 0.4741, 0.7568)  1 Pu 2.48
Ce (0.6331, 0.5259, 0.2432)  1 Pu 2.48
Ce (0.6331, 0.9741, 0.7432)  1 Pu 2.48
Ce (0.6908, 0.2019, 0.0496)  1 Pu 2.47
Ce (0.6908, 0.2981, 0.5496)  1 Pu 2.47
Ce (0.9013, 0.6469, 0.0563)  1 Pu 2.49
Ce (0.9013, 0.8531, 0.5563)  1 Pu 2.49
Pu (0.5000, 0.0000, 0.5000)  6 Ce 2.47-2.49
Pu (0.5000, 0.5000, 0.0000)  6 Ce 2.47-2.49
Cu (0.1887, 0.1122, 0.7667)  7 Ce 2.89-3.17
Cu (0.1887, 0.3878, 0.2667)  7 Ce 2.89-3.17
Cu (0.8113, 0.6122, 0.7333)  7 Ce 2.89-3.17
Cu (0.8113, 0.8878, 0.2333)  7 Ce 2.89-3.17

No. 10
## CePuCu (PBE)

Data for CePuCu after structural relaxation.

Relative energy among the computed polymorphs, meV/atom: 0
Energy relative to the elements, meV per atom: 55
Crystal system: tetragonal

Cell: 5.6258 5.6258 5.6258 Å, 142.87 142.87 53.52°
Closest atoms and distances in Å follow each position.
Sites, in units of the cell vectors:
Ce (0.0000, 0.0000, 0.0000)  4 Cu 3.02, 5 Pu 3.07-3.29
Pu (0.6720, 0.6720, 0.0000)  5 Cu 3.03-3.36, 5 Ce 3.07-3.29
Cu (0.3371, 0.3371, 0.0000)  4 Ce 3.02, 5 Pu 3.03-3.36

No. 11
## CePuCu (PBE)

Data for CePuCu after structural relaxation.

Relative energy among the computed polymorphs, meV/atom: 49
Energy relative to the elements, meV per atom: 104
Crystal system: hexagonal

Cell: 4.9159 4.9159 2.8612 Å, 90.00 90.00 120.00°
Closest atoms and distances in Å follow each position.
Sites, in units of the cell vectors:
Ce (0.0000, 0.0000, 0.0000)  3 Pu 2.84, 2 Ce 2.86, 6 Cu 3.18
Pu (0.6667, 0.3333, 0.0000)  3 Ce 2.84, 2 Pu 2.86, 6 Cu 3.18
Cu (0.3333, 0.6667, 0.5000)  2 Cu 2.86, 6 Ce 3.18, 6 Pu 3.18

No. 12
## CePu2Cu (PBE)

Data for CePu2Cu after structural relaxation.

Relative energy among the computed polymorphs, meV/atom: 72
Energy relative to the elements, meV per atom: 162
Crystal system: tetragonal

Cell: 4.4074 4.4074 4.8447 Å, 90.00 90.00 90.00°
Closest atoms and distances in Å follow each position.
Sites, in units of the cell vectors:
Ce (0.0000, 0.0000, 0.0000)  4 Cu 3.12, 8 Pu 3.27
Pu (0.0000, 0.5000, 0.5000)  4 Pu 3.12, 4 Ce 3.27, 4 Cu 3.27
Pu (0.5000, 0.0000, 0.5000)  4 Pu 3.12, 4 Ce 3.27, 4 Cu 3.27
Cu (0.5000, 0.5000, 0.0000)  4 Ce 3.12, 8 Pu 3.27

No. 13
## CePuCu2 (PBE)

Data for CePuCu2 after structural relaxation.

Relative energy among the computed polymorphs, meV/atom: 8
Energy relative to the elements, meV per atom: 51
Crystal system: orthorhombic

Cell: 4.5865 4.5865 3.9375 Å, 90.00 90.00 90.11°
Closest atoms and distances in Å follow each position.
Sites, in units of the cell vectors:
Ce (0.0000, 0.0000, 0.0000)  8 Cu 3.02, 4 Pu 3.24-3.25
Pu (0.5000, 0.5000, 0.0000)  8 Cu 3.02, 4 Ce 3.24-3.25
Cu (0.0000, 0.5000, 0.5000)  4 Ce 3.02, 4 Pu 3.02, 4 Cu 3.24-3.25
Cu (0.5000, 0.0000, 0.5000)  4 Ce 3.02, 4 Pu 3.02, 4 Cu 3.24-3.25

No. 14
## Ce8Pu2Cu (PBE)

Data for Ce8Pu2Cu after structural relaxation.

Energy relative to the elements, meV per atom: 131
Crystal system: monoclinic

Cell: 8.8529 8.8529 5.5531 Å, 104.04 104.04 41.73°
Closest atoms and distances in Å follow each position.
Sites, in units of the cell vectors:
Ce (0.0725, 0.0725, 0.2632)  1 Pu 2.72, 2 Ce 2.90
Ce (0.1608, 0.6308, 0.2943)  2 Ce 2.90-2.96, 1 Cu 3.05, 1 Pu 3.10
Ce (0.3010, 0.3010, 0.7168)  4 Pu 2.97-3.27, 1 Cu 3.26
Ce (0.3692, 0.8392, 0.7057)  2 Ce 2.90-2.96, 1 Cu 3.05, 1 Pu 3.10
Ce (0.6308, 0.1608, 0.2943)  2 Ce 2.90-2.96, 1 Cu 3.05, 1 Pu 3.10
Ce (0.6990, 0.6990, 0.2832)  4 Pu 2.97-3.27, 1 Cu 3.26
Ce (0.8392, 0.3692, 0.7057)  2 Ce 2.90-2.96, 1 Cu 3.05, 1 Pu 3.10
Ce (0.9275, 0.9275, 0.7368)  1 Pu 2.72, 2 Ce 2.90
Pu (0.2257, 0.2257, 0.1693)  2 Ce 2.72-2.97
Pu (0.7743, 0.7743, 0.8307)  2 Ce 2.72-2.97
Cu (0.5000, 0.5000, 0.0000)  6 Ce 3.05-3.26

No. 15
## Ce6PuCu (PBE)

Data for Ce6PuCu after structural relaxation.

Energy relative to the elements, meV per atom: -22
Crystal system: monoclinic

Cell: 6.2860 6.2860 6.5794 Å, 99.25 99.25 115.04°
Closest atoms and distances in Å follow each position.
Sites, in units of the cell vectors:
Ce (0.0467, 0.3775, 0.2346)  1 Pu 2.49
Ce (0.2418, 0.2418, 0.7853)  1 Pu 2.46
Ce (0.3775, 0.0467, 0.2346)  1 Pu 2.49
Ce (0.6225, 0.9533, 0.7654)  1 Pu 2.49
Ce (0.7582, 0.7582, 0.2147)  1 Pu 2.46
Ce (0.9533, 0.6225, 0.7654)  1 Pu 2.49
Pu (0.0000, 0.0000, 0.0000)  6 Ce 2.46-2.49
Cu (0.5000, 0.5000, 0.5000)  6 Ce 2.81-2.92

No. 16
## Ce2PuCu9 (PBE)

Data for Ce2PuCu9 after structural relaxation.

Energy relative to the elements, meV per atom: -55
Crystal system: trigonal

Cell: 8.8879 8.8879 8.8879 Å, 33.88 33.88 33.88°
Closest atoms and distances in Å follow each position.
Sites, in units of the cell vectors:
Ce (0.1446, 0.1446, 0.1446)  12 Cu 3.04-3.11, 3 Ce 3.19
Ce (0.8554, 0.8554, 0.8554)  12 Cu 3.04-3.11, 3 Ce 3.19
Pu (0.0000, 0.0000, 0.0000)  18 Cu 2.99-3.28
Cu (0.0843, 0.5785, 0.5785)  7 Cu 2.50-2.62
Cu (0.3319, 0.3319, 0.3319)  6 Cu 2.50-2.53
Cu (0.4215, 0.4215, 0.9157)  7 Cu 2.50-2.62
Cu (0.4215, 0.9157, 0.4215)  7 Cu 2.50-2.62
Cu (0.5000, 0.5000, 0.5000)  6 Cu 2.62
Cu (0.5785, 0.0843, 0.5785)  7 Cu 2.50-2.62
Cu (0.5785, 0.5785, 0.0843)  7 Cu 2.50-2.62
Cu (0.6681, 0.6681, 0.6681)  6 Cu 2.50-2.53
Cu (0.9157, 0.4215, 0.4215)  7 Cu 2.50-2.62

No. 17
## CePu2Cu9 (PBE)

Data for CePu2Cu9 after structural relaxation.

Energy relative to the elements, meV per atom: -70
Crystal system: trigonal

Cell: 8.8649 8.8649 8.8649 Å, 33.91 33.91 33.91°
Closest atoms and distances in Å follow each position.
Sites, in units of the cell vectors:
Ce (0.0000, 0.0000, 0.0000)  18 Cu 2.99-3.29
Pu (0.1473, 0.1473, 0.1473)  12 Cu 3.02-3.07, 3 Pu 3.14
Pu (0.8527, 0.8527, 0.8527)  12 Cu 3.02-3.07, 3 Pu 3.14
Cu (0.0850, 0.5794, 0.5794)  7 Cu 2.50-2.61
Cu (0.3317, 0.3317, 0.3317)  6 Cu 2.50-2.55
Cu (0.4206, 0.4206, 0.9150)  7 Cu 2.50-2.61
Cu (0.4206, 0.9150, 0.4206)  7 Cu 2.50-2.61
Cu (0.5000, 0.5000, 0.5000)  6 Cu 2.60
Cu (0.5794, 0.0850, 0.5794)  7 Cu 2.50-2.61
Cu (0.5794, 0.5794, 0.0850)  7 Cu 2.50-2.61
Cu (0.6683, 0.6683, 0.6683)  6 Cu 2.50-2.55
Cu (0.9150, 0.4206, 0.4206)  7 Cu 2.50-2.61

No. 18
## CePu2Cu (PBE)

Data for CePu2Cu after structural relaxation.

Relative energy among the computed polymorphs, meV/atom: 45
Energy relative to the elements, meV per atom: 135
Crystal system: tetragonal

Cell: 3.5247 3.5247 7.2729 Å, 90.00 90.00 90.00°
Closest atoms and distances in Å follow each position.
Sites, in units of the cell vectors:
Ce (0.0000, 0.0000, 0.0000)  8 Pu 3.22, 4 Ce 3.52
Pu (0.5000, 0.5000, 0.2796)  4 Cu 2.96, 1 Pu 3.21, 4 Ce 3.22
Pu (0.5000, 0.5000, 0.7204)  4 Cu 2.96, 1 Pu 3.21, 4 Ce 3.22
Cu (0.0000, 0.0000, 0.5000)  8 Pu 2.96

No. 19
## CePu2Cu (PBE)

Data for CePu2Cu after structural relaxation.

Relative energy among the computed polymorphs, meV/atom: 0
Energy relative to the elements, meV per atom: 90
Crystal system: cubic

Cell: 5.0008 5.0008 5.0008 Å, 60.00 60.00 60.00°
Closest atoms and distances in Å follow each position.
Sites, in units of the cell vectors:
Ce (0.0000, 0.0000, 0.0000)  8 Pu 3.06
Pu (0.2500, 0.2500, 0.2500)  4 Ce 3.06, 4 Cu 3.06
Pu (0.7500, 0.7500, 0.7500)  4 Cu 3.06, 4 Ce 3.06
Cu (0.5000, 0.5000, 0.5000)  8 Pu 3.06

No. 20
## Ce8PuCu2 (PBE)

Data for Ce8PuCu2 after structural relaxation.

Energy relative to the elements, meV per atom: 57
Crystal system: monoclinic

Cell: 7.1816 7.1816 5.8851 Å, 99.01 99.01 79.39°
Closest atoms and distances in Å follow each position.
Sites, in units of the cell vectors:
Ce (0.0712, 0.6764, 0.7742)  1 Pu 2.50
Ce (0.1395, 0.1395, 0.7195)  1 Pu 2.48
Ce (0.3236, 0.9288, 0.2258)  1 Pu 2.50
Ce (0.3389, 0.3389, 0.2897)  3 Cu 2.89-3.09, 2 Ce 2.93
Ce (0.6611, 0.6611, 0.7103)  3 Cu 2.89-3.09, 2 Ce 2.93
Ce (0.6764, 0.0712, 0.7742)  1 Pu 2.50
Ce (0.8605, 0.8605, 0.2805)  1 Pu 2.48
Ce (0.9288, 0.3236, 0.2258)  1 Pu 2.50
Pu (0.0000, 0.0000, 0.0000)  6 Ce 2.48-2.50
Cu (0.4190, 0.4190, 0.8251)  1 Cu 2.44
Cu (0.5810, 0.5810, 0.1749)  1 Cu 2.44